Here is an optimized crystal structure of K2VOF4 from Alexandria. Energies are from PBE+U.

Geometry as POSCAR:
```
K2VOF4
1.0
-4.285 2.614 2.864
-1.146 -6.284 4.020
7.624 3.729 8.003
F O K V
16 4 8 4
direct
0.285 0.031 0.197
0.537 0.508 0.502
0.767 0.226 0.408
0.037 0.992 0.002
0.285 0.531 0.303
0.785 0.969 0.803
0.505 0.823 0.391
0.037 0.492 0.498
0.537 0.008 0.998
0.785 0.469 0.697
0.767 0.726 0.092
0.505 0.323 0.109
0.267 0.274 0.908
0.267 0.774 0.592
0.005 0.677 0.891
0.005 0.177 0.609
0.530 0.186 0.614
0.030 0.314 0.114
0.530 0.686 0.886
0.030 0.814 0.386
0.257 0.168 0.412
0.257 0.668 0.088
0.757 0.832 0.588
0.256 0.986 0.775
0.257 0.486 0.725
0.757 0.332 0.912
0.756 0.514 0.275
0.756 0.014 0.225
0.740 0.817 0.934
0.240 0.683 0.434
0.740 0.317 0.566
0.240 0.183 0.066
```

Properties
- SG: Pna2_1, No. 33
- E: -175.2 eV per cell